# 1
# PBE-GGA HoAlHg, relaxed
data_HoAlHg
_cell_length_a 10.7921
_cell_length_b 4.6014
_cell_length_c 7.2204
_cell_angle_alpha 90.00
_cell_angle_beta 131.21
_cell_angle_gamma 90.00
_symmetry_space_group_name_H-M 'C 1 2/m 1'
_symmetry_Int_Tables_number 12
loop_
_symmetry_equiv_pos_as_xyz
'x,y,z'
'-x,-y,-z'
'-x,y,-z'
'x,-y,z'
'x+1/2,y+1/2,z'
'-x+1/2,-y+1/2,-z'
'-x+1/2,y+1/2,-z'
'x+1/2,-y+1/2,z'
loop_
_atom_site_label
_atom_site_type_symbol
_atom_site_fract_x
_atom_site_fract_y
_atom_site_fract_z
Ho1 Ho 0.0329 0.0000 0.2865
Al1 Al 0.1576 0.5000 0.1238
Hg1 Hg 0.1740 0.5000 0.7230
# Calculated density ... 9.666 g/cm3
# ΔE_f ... -0.434 eV/atom


# 2
# PBE-GGA HoAlHg, relaxed
data_HoAlHg
_cell_length_a 4.6428
_cell_length_b 4.6428
_cell_length_c 3.5849
_cell_angle_alpha 90.00
_cell_angle_beta 90.00
_cell_angle_gamma 120.00
_symmetry_space_group_name_H-M 'P -6 m 2'
_symmetry_Int_Tables_number 187
_symmetry_space_group_name_Hall 'P -6 2'
loop_
_atom_site_label
_atom_site_type_symbol
_atom_site_fract_x
_atom_site_fract_y
_atom_site_fract_z
Ho1 Ho 0.0000 0.0000 0.0000
Al1 Al 0.3333 0.6667 0.5000
Hg1 Hg 0.6667 0.3333 0.5000
# Calculated density ... 9.739 g/cm3
# ΔE_f ... -0.455 eV/atom


# 3
# PBE-GGA Ho4AlHg3, relaxed
data_Ho4AlHg3
_cell_length_a 3.6623
_cell_length_b 3.6623
_cell_length_c 14.8398
_cell_angle_alpha 90.00
_cell_angle_beta 90.00
_cell_angle_gamma 90.00
_symmetry_space_group_name_H-M 'P 4/m m m'
_symmetry_Int_Tables_number 123
_symmetry_space_group_name_Hall '-P 4 2'
loop_
_atom_site_label
_atom_site_type_symbol
_atom_site_fract_x
_atom_site_fract_y
_atom_site_fract_z
Ho1 Ho 0.0000 0.0000 0.1193
Ho2 Ho 0.0000 0.0000 0.3728
Al1 Al 0.5000 0.5000 0.0000
Hg1 Hg 0.5000 0.5000 0.2449
Hg2 Hg 0.5000 0.5000 0.5000
# Calculated density ... 10.749 g/cm3
# ΔE_f ... -0.454 eV/atom


# 4
# PBE-GGA Ho4Al3Hg, relaxed
data_Ho4Al3Hg
_cell_length_a 3.7098
_cell_length_b 4.5359
_cell_length_c 11.6597
_cell_angle_alpha 90.00
_cell_angle_beta 90.00
_cell_angle_gamma 90.00
_symmetry_space_group_name_H-M 'P m m 2'
_symmetry_Int_Tables_number 25
loop_
_symmetry_equiv_pos_as_xyz
'x,y,z'
'-x,-y,z'
'-x,y,z'
'x,-y,z'
loop_
_atom_site_label
_atom_site_type_symbol
_atom_site_fract_x
_atom_site_fract_y
_atom_site_fract_z
Ho1 Ho 0.0000 0.0000 0.0000
Ho2 Ho 0.0000 0.5000 0.3066
Ho3 Ho 0.5000 0.0000 0.4938
Ho4 Ho 0.5000 0.5000 0.8071
Al1 Al 0.0000 0.5000 0.5785
Al2 Al 0.5000 0.0000 0.2202
Al3 Al 0.5000 0.5000 0.0831
Hg1 Hg 0.0000 0.0000 0.7250
# Calculated density ... 7.966 g/cm3
# ΔE_f ... -0.392 eV/atom


# 5
# PBE-GGA Ho5Al2Hg, relaxed
data_Ho5Al2Hg
_cell_length_a 7.6272
_cell_length_b 7.6272
_cell_length_c 14.7547
_cell_angle_alpha 90.00
_cell_angle_beta 90.00
_cell_angle_gamma 90.00
_symmetry_space_group_name_H-M 'I 4/m c m'
_symmetry_Int_Tables_number 140
_symmetry_space_group_name_Hall '-I 4 2c'
loop_
_atom_site_label
_atom_site_type_symbol
_atom_site_fract_x
_atom_site_fract_y
_atom_site_fract_z
Ho1 Ho 0.0000 0.0000 0.0000
Ho2 Ho 0.1698 0.3302 0.1473
Al1 Al 0.1215 0.3785 0.5000
Hg1 Hg 0.0000 0.0000 0.2500
# Calculated density ... 8.351 g/cm3
# ΔE_f ... -0.323 eV/atom


# 6
# PBE-GGA HoAlHg, relaxed
data_HoAlHg
_cell_length_a 3.3644
_cell_length_b 3.3644
_cell_length_c 25.3565
_cell_angle_alpha 90.00
_cell_angle_beta 90.00
_cell_angle_gamma 90.00
_symmetry_space_group_name_H-M 'I 4/m m m'
_symmetry_Int_Tables_number 139
_symmetry_space_group_name_Hall '-I 4 2'
loop_
_atom_site_label
_atom_site_type_symbol
_atom_site_fract_x
_atom_site_fract_y
_atom_site_fract_z
Ho1 Ho 0.0000 0.0000 0.1418
Al1 Al 0.0000 0.0000 0.2781
Hg1 Hg 0.0000 0.0000 0.4433
# Calculated density ... 9.084 g/cm3
# ΔE_f ... -0.229 eV/atom


# 7
# PBE-GGA HoAlHg, relaxed
data_HoAlHg
_cell_length_a 6.6859
_cell_length_b 6.6859
_cell_length_c 6.6859
_cell_angle_alpha 90.00
_cell_angle_beta 90.00
_cell_angle_gamma 90.00
_symmetry_space_group_name_H-M 'F -4 3 m'
_symmetry_Int_Tables_number 216
_symmetry_space_group_name_Hall 'F -4 2 3'
loop_
_atom_site_label
_atom_site_type_symbol
_atom_site_fract_x
_atom_site_fract_y
_atom_site_fract_z
Ho1 Ho 0.0000 0.0000 0.0000
Al1 Al 0.0000 0.0000 0.5000
Hg1 Hg 0.2500 0.2500 0.7500
# Calculated density ... 8.723 g/cm3
# ΔE_f ... -0.331 eV/atom


# 8
# PBE-GGA Ho2AlHg, relaxed
data_Ho2AlHg
_cell_length_a 3.6201
_cell_length_b 3.6201
_cell_length_c 27.7061
_cell_angle_alpha 90.00
_cell_angle_beta 90.00
_cell_angle_gamma 120.00
_symmetry_space_group_name_H-M 'R -3 m'
_symmetry_Int_Tables_number 166
_symmetry_space_group_name_Hall '-R 3 2"'
loop_
_atom_site_label
_atom_site_type_symbol
_atom_site_fract_x
_atom_site_fract_y
_atom_site_fract_z
Ho1 Ho 0.0000 0.0000 0.2471
Al1 Al 0.0000 0.0000 0.5000
Hg1 Hg 0.0000 0.0000 0.0000
# Calculated density ... 8.831 g/cm3
# ΔE_f ... -0.276 eV/atom


# 9
# PBE-GGA Ho3Al2Hg2, relaxed
data_Ho3Al2Hg2
_cell_length_a 4.3677
_cell_length_b 21.6651
_cell_length_c 3.4699
_cell_angle_alpha 90.00
_cell_angle_beta 90.00
_cell_angle_gamma 90.00
_symmetry_space_group_name_H-M 'C m m m'
_symmetry_Int_Tables_number 65
_symmetry_space_group_name_Hall '-C 2 2'
loop_
_atom_site_label
_atom_site_type_symbol
_atom_site_fract_x
_atom_site_fract_y
_atom_site_fract_z
Ho1 Ho 0.0000 0.0000 0.0000
Ho2 Ho 0.0000 0.1607 0.0000
Al1 Al 0.0000 0.2819 0.5000
Hg1 Hg 0.0000 0.4198 0.5000
# Calculated density ... 9.608 g/cm3
# ΔE_f ... -0.431 eV/atom


# 10
# PBE-GGA Ho3Al2Hg3, relaxed
data_Ho3Al2Hg3
_cell_length_a 4.5220
_cell_length_b 11.0651
_cell_length_c 15.0673
_cell_angle_alpha 90.00
_cell_angle_beta 90.00
_cell_angle_gamma 90.00
_symmetry_space_group_name_H-M 'C m c m'
_symmetry_Int_Tables_number 63
_symmetry_space_group_name_Hall '-C 2c 2'
loop_
_atom_site_label
_atom_site_type_symbol
_atom_site_fract_x
_atom_site_fract_y
_atom_site_fract_z
Ho1 Ho 0.0000 0.0813 0.1110
Ho2 Ho 0.0000 0.3618 0.2500
Al1 Al 0.0000 0.2080 0.6082
Hg1 Hg 0.0000 0.3609 0.7500
Hg2 Hg 0.0000 0.3768 0.0372
# Calculated density ... 10.136 g/cm3
# ΔE_f ... -0.420 eV/atom


# 11
# PBE-GGA Ho2AlHg8, relaxed
data_Ho2AlHg8
_cell_length_a 4.5867
_cell_length_b 4.5867
_cell_length_c 12.5091
_cell_angle_alpha 90.00
_cell_angle_beta 90.00
_cell_angle_gamma 90.00
_symmetry_space_group_name_H-M 'P 4/m m m'
_symmetry_Int_Tables_number 123
_symmetry_space_group_name_Hall '-P 4 2'
loop_
_atom_site_label
_atom_site_type_symbol
_atom_site_fract_x
_atom_site_fract_y
_atom_site_fract_z
Ho1 Ho 0.0000 0.0000 0.1906
Al1 Al 0.0000 0.0000 0.5000
Hg1 Hg 0.0000 0.5000 0.0000
Hg2 Hg 0.0000 0.5000 0.3700
Hg3 Hg 0.5000 0.5000 0.1884
# Calculated density ... 12.377 g/cm3
# ΔE_f ... -0.227 eV/atom


# 12
# PBE-GGA Ho2AlHg, relaxed
data_Ho2AlHg
_cell_length_a 7.3292
_cell_length_b 7.3292
_cell_length_c 7.3292
_cell_angle_alpha 90.00
_cell_angle_beta 90.00
_cell_angle_gamma 90.00
_symmetry_space_group_name_H-M 'F m -3 m'
_symmetry_Int_Tables_number 225
_symmetry_space_group_name_Hall '-F 4 2 3'
loop_
_atom_site_label
_atom_site_type_symbol
_atom_site_fract_x
_atom_site_fract_y
_atom_site_fract_z
Ho1 Ho 0.2500 0.2500 0.2500
Al1 Al 0.0000 0.0000 0.0000
Hg1 Hg 0.0000 0.0000 0.5000
# Calculated density ... 9.404 g/cm3
# ΔE_f ... -0.399 eV/atom


# 13
# PBE-GGA Ho12Al2Hg5, relaxed
data_Ho12Al2Hg5
_cell_length_a 15.3624
_cell_length_b 7.9505
_cell_length_c 8.8256
_cell_angle_alpha 90.00
_cell_angle_beta 91.24
_cell_angle_gamma 90.00
_symmetry_space_group_name_H-M 'C 1 2/m 1'
_symmetry_Int_Tables_number 12
loop_
_symmetry_equiv_pos_as_xyz
'x,y,z'
'-x,-y,-z'
'-x,y,-z'
'x,-y,z'
'x+1/2,y+1/2,z'
'-x+1/2,-y+1/2,-z'
'-x+1/2,y+1/2,-z'
'x+1/2,-y+1/2,z'
loop_
_atom_site_label
_atom_site_type_symbol
_atom_site_fract_x
_atom_site_fract_y
_atom_site_fract_z
Ho1 Ho 0.0332 0.0000 0.1962
Ho2 Ho 0.0453 0.5000 0.6640
Ho3 Ho 0.1397 0.2312 0.9269
Ho4 Ho 0.1726 0.2874 0.3573
Al1 Al 0.0000 0.1754 0.5000
Hg1 Hg 0.0000 0.5000 0.0000
Hg2 Hg 0.1538 0.0000 0.6180
Hg3 Hg 0.2378 0.0000 0.1645
# Calculated density ... 9.356 g/cm3
# ΔE_f ... -0.151 eV/atom